(1)
Compound: Ho2Ni15B9
Source: OQMD
Functional: GGA-PBE
Structure: relaxed

Properties
* magnetic moment: 0.02 μB/cell

Cell and atoms, written as CIF:
```
data_Ho2Ni15B9
_chemical_formula_sum 'Ho16 Ni120 B72'
_space_group_name_H-M_alt 'C m c e'
_space_group_IT_number 64
_space_group_name_Hall '-C 2ac 2'
_cell_length_a 15.884
_cell_length_b 11.623
_cell_length_c 11.268
_cell_angle_alpha 90.00
_cell_angle_beta 90.00
_cell_angle_gamma 90.00
loop_
_atom_site_label
_atom_site_type_symbol
_atom_site_fract_x
_atom_site_fract_y
_atom_site_fract_z
Ho1 Ho 0.000 0.239 0.041
Ho2 Ho 0.250 0.058 0.250
Ni1 Ni 0.000 0.000 0.000
Ni2 Ni 0.000 0.000 0.500
Ni3 Ni 0.000 0.235 0.788
Ni4 Ni 0.079 0.089 0.193
Ni5 Ni 0.096 0.088 0.660
Ni6 Ni 0.107 0.135 0.403
Ni7 Ni 0.116 0.112 0.882
Ni8 Ni 0.170 0.223 0.086
Ni9 Ni 0.237 0.101 0.530
Ni10 Ni 0.250 0.182 0.750
B1 B 0.000 0.044 0.327
B2 B 0.000 0.058 0.801
B3 B 0.129 0.250 0.256
B4 B 0.135 0.000 0.500
B5 B 0.148 0.054 0.051
B6 B 0.200 0.250 0.400
```

(2)
Compound: PrTlZnS3
Source: OQMD
Functional: GGA-PBE
Structure: relaxed

Properties
* magnetic moment: 0.00 μB/cell
* offset from the most stable computed form: 21 meV/atom

Cell and atoms, written as CIF:
```
data_PrTlZnS3
_chemical_formula_sum 'Pr2 Tl2 Zn2 S6'
_space_group_name_H-M_alt 'P 1 21/m 1'
_space_group_IT_number 11
_cell_length_a 8.060
_cell_length_b 4.106
_cell_length_c 10.354
_cell_angle_alpha 90.00
_cell_angle_beta 106.50
_cell_angle_gamma 90.00
loop_
_space_group_symop_operation_xyz
'x,y,z'
'-x,-y,-z'
'-x,y+1/2,-z'
'x,-y+1/2,z'
loop_
_atom_site_label
_atom_site_type_symbol
_atom_site_fract_x
_atom_site_fract_y
_atom_site_fract_z
Pr1 Pr 0.204 0.250 0.133
Tl1 Tl 0.218 0.750 0.704
Zn1 Zn 0.429 0.750 0.393
S1 S 0.039 0.250 0.854
S2 S 0.293 0.250 0.438
S3 S 0.457 0.750 0.175
```

(3)
Compound: RbAgPdS3
Source: OQMD
Functional: GGA-PBE
Structure: relaxed

Properties
* offset from the most stable computed form: 74 meV/atom

Cell and atoms, written as CIF:
```
data_RbAgPdS3
_chemical_formula_sum 'Rb4 Ag4 Pd4 S12'
_space_group_name_H-M_alt 'C m c m'
_space_group_IT_number 63
_space_group_name_Hall '-C 2c 2'
_cell_length_a 3.765
_cell_length_b 14.949
_cell_length_c 10.254
_cell_angle_alpha 90.00
_cell_angle_beta 90.00
_cell_angle_gamma 90.00
loop_
_atom_site_label
_atom_site_type_symbol
_atom_site_fract_x
_atom_site_fract_y
_atom_site_fract_z
Rb1 Rb 0.000 0.235 0.250
Ag1 Ag 0.000 0.066 0.750
Pd1 Pd 0.000 0.500 0.000
S1 S 0.000 0.104 0.519
S2 S 0.000 0.451 0.750
```

(4)
Compound: LuAgGeS3
Source: OQMD
Functional: GGA-PBE
Structure: relaxed

Properties
* magnetic moment: 0.02 μB/cell
* offset from the most stable computed form: 21 meV/atom

Cell and atoms, written as CIF:
```
data_LuAgGeS3
_chemical_formula_sum 'Lu4 Ag4 Ge4 S12'
_space_group_name_H-M_alt 'C m c m'
_space_group_IT_number 63
_space_group_name_Hall '-C 2c 2'
_cell_length_a 3.835
_cell_length_b 13.911
_cell_length_c 10.170
_cell_angle_alpha 90.00
_cell_angle_beta 90.00
_cell_angle_gamma 90.00
loop_
_atom_site_label
_atom_site_type_symbol
_atom_site_fract_x
_atom_site_fract_y
_atom_site_fract_z
Lu1 Lu 0.000 0.000 0.000
Ag1 Ag 0.000 0.337 0.250
Ge1 Ge 0.000 0.327 0.750
S1 S 0.000 0.058 0.250
S2 S 0.000 0.367 0.017
```

no.,VASP energy (eV per atom)
1,-6.296
2,-4.631
3,-3.842
4,-4.951